# 1
The following is a PBE calculation of a geometry-optimized Pm2Er3TmSe6 structure, from the Alexandria database.

```
12
Lattice="-3.538 -0.775 1.840 4.036 -3.317 6.366 1.034 8.999 1.293" Properties=species:S:1:pos:R:3 pbc="T T T"
Tm -1.769 -0.387 0.920
Er 3.114 0.184 6.066
Er 0.249 -2.046 4.103
Er -1.581 4.724 3.433
Pm 1.112 1.799 2.896
Pm 0.420 3.109 6.602
Se 3.252 2.712 7.395
Se 1.152 4.469 4.097
Se 3.037 -2.431 4.817
Se -1.505 7.339 4.681
Se -1.719 2.195 2.104
Se 0.381 0.439 5.402
```

SG: C2/m, No. 12
Fermi-level density of states: 0.465 states/eV per atom
Total magnetic moment: 0.0 μB per cell
Formation energy without anion corrections: -1.736 eV per atom

# 2
The following is a PBE calculation of a geometry-optimized KCr3Se structure, from the Alexandria database.

```
5
Lattice="5.410 0.000 0.000 0.000 5.410 0.000 0.000 0.000 5.410" Properties=species:S:1:pos:R:3 pbc="T T T"
Cr 0.000 0.000 2.705
Cr 0.000 2.705 0.000
Cr 2.705 0.000 0.000
Se 2.705 2.705 2.705
K 0.000 0.000 0.000
```

SG: Pm-3m, No. 221
E above lowest polymorph: 1313 meV per atom
Fermi-level density of states: 0.224 states/eV per atom
Total magnetic moment: 15.1 μB per cell
Formation energy without anion corrections: 2.183 eV per atom

# 3
The following is a PBE calculation of a geometry-optimized YHoPaO6 structure, from the Alexandria database.

```
9
Lattice="4.673 0.000 0.000 0.000 5.781 0.000 0.000 -2.890 5.006" Properties=species:S:1:pos:R:3 pbc="T T T"
Ho 2.337 0.000 0.000
Y 2.337 2.890 1.669
O 1.192 0.913 1.733
O 3.482 -0.913 1.733
O 3.482 1.847 3.349
O 1.192 0.933 4.931
O 3.482 -0.933 4.931
O 1.192 -1.847 3.349
Pa 0.000 0.000 3.337
```

SG: P312, No. 149
Fermi-level density of states: 1.010 states/eV per atom
Total magnetic moment: 0.5 μB per cell
Formation energy without anion corrections: -3.221 eV per atom

# 4
The following is a PBE calculation of a geometry-optimized TaNbPd2S6 structure, from the Alexandria database.

```
20
Lattice="-5.124 -3.220 0.079 3.473 -7.328 1.858 -1.154 0.191 8.237" Properties=species:S:1:pos:R:3 pbc="T T T"
S 0.700 -7.604 4.628
S -0.960 -4.833 6.669
S 1.819 -7.272 8.459
S -2.692 -7.792 5.564
S -1.456 -7.724 9.481
S -1.845 -5.524 3.505
S 1.467 -5.058 2.183
S -3.505 -2.752 5.545
S -4.624 -3.084 1.714
S -0.113 -2.565 4.610
S -4.272 -5.299 7.990
S -1.349 -2.632 0.692
Nb -1.267 -2.512 6.646
Nb -1.538 -7.844 3.528
Pd -0.553 -3.802 2.691
Pd -2.251 -6.554 7.482
Pd 1.002 -6.067 6.489
Pd -3.807 -4.289 3.684
Ta -4.530 -2.982 7.652
Ta 1.725 -7.374 2.521
```

SG: C2/c, No. 15
Fermi-level density of states: 0.710 states/eV per atom
Total magnetic moment: 0.0 μB per cell
Formation energy without anion corrections: -0.577 eV per atom

# 5
The following is a PBE calculation of a geometry-optimized Cs2NaPb structure, from the Alexandria database.

```
4
Lattice="-4.608 2.015 0.366 -0.815 -2.631 4.224 3.158 6.389 4.590" Properties=species:S:1:pos:R:3 pbc="T T T"
Pb -2.712 -0.308 2.295
Cs 0.731 1.478 1.062
Cs 2.427 4.911 3.528
Na -1.133 2.886 4.590
```

E_form: 0.0708 eV/atom
SG: P4/mmm, No. 123
Fermi-level density of states: 0.412 states/eV per atom
Total magnetic moment: 0.0 μB per cell

# 6
The following is a PBE calculation of a geometry-optimized Pr4AsPI2 structure, from the Alexandria database.

```
8
Lattice="-2.222 1.632 -3.302 3.860 -4.343 -4.744 -6.572 -4.131 2.380" Properties=species:S:1:pos:R:3 pbc="T T T"
Pr -3.419 -5.911 -3.423
Pr -4.316 -4.457 0.701
Pr 1.604 -4.017 -3.064
Pr -1.515 -0.930 -2.242
I -1.356 -4.237 -1.182
I -4.397 -1.250 -0.461
P 0.000 0.000 0.000
As 0.819 -1.355 -4.023
```

SG: P2/m, No. 10
Fermi-level density of states: 0.390 states/eV per atom
Total magnetic moment: 0.0 μB per cell
Formation energy without anion corrections: -1.343 eV per atom

# 7
The following is a PBE calculation of a geometry-optimized RePt2Pb structure, from the Alexandria database.

```
4
Lattice="5.092 -0.007 0.000 -1.987 4.688 0.000 0.000 0.000 2.911" Properties=species:S:1:pos:R:3 pbc="T T T"
Re 2.546 -0.004 1.455
Pt 0.000 0.000 0.000
Pt 1.553 2.341 0.000
Pb -0.993 2.344 1.455
```

E_form: 0.3627 eV/atom
SG: Cmmm, No. 65
Fermi-level density of states: 0.884 states/eV per atom
Total magnetic moment: 0.0 μB per cell

# 8
The following is a PBE calculation of a geometry-optimized GaSiHgOsRh structure, from the Alexandria database.

```
5
Lattice="-3.600 2.400 1.429 0.773 -0.503 2.791 5.308 4.065 -0.738" Properties=species:S:1:pos:R:3 pbc="T T T"
Os 1.523 3.420 0.194
Si 2.928 4.695 1.582
Ga -0.026 4.165 2.305
Hg 0.426 0.940 1.599
Rh -1.693 2.492 0.918
```

SG: Amm2, No. 38
E above lowest polymorph: 195 meV per atom
Fermi-level density of states: 0.379 states/eV per atom
Total magnetic moment: 0.0 μB per cell
Formation energy without anion corrections: -0.037 eV per atom

no.,electronic total energy (eV per cell)
1,-69.4
2,-22.5
3,-79.3
4,-125.7
5,-6.5
6,-43.0
7,-26.8
8,-27.5